# Fe3Ir, optimized geometry, DFT PBE
# **Energy of formation**: -0.110 eV/f.u.
# **Crystal system**: orthorhombic
# **Magnetization**: 3.17 Bohr magnetons per cell
data_Fe3Ir
_space_group_name_H-M_alt 'P m m n'
_space_group_IT_number 59
_cell_length_a 4.141
_cell_length_b 5.120
_cell_length_c 4.521
_cell_angle_alpha 90.00
_cell_angle_beta 90.00
_cell_angle_gamma 90.00
loop_
_space_group_symop_operation_xyz
'x,y,z'
'-x,-y,-z'
'-x+1/2,-y+1/2,z'
'x+1/2,y+1/2,-z'
'x+1/2,-y,-z'
'-x+1/2,y,z'
'-x,y+1/2,-z'
'x,-y+1/2,z'
loop_
_atom_site_label
_atom_site_fract_x
_atom_site_fract_y
_atom_site_fract_z
Fe1 0.250 0.002 0.157
Fe2 0.250 0.250 0.667
Ir1 0.250 0.750 0.663